w) {"formula": "TeAsPb2", "functional": "meta-GGA SCAN", "state": "single point on PBEsol structure", "vol_a3_per_cell": 232.3, "sg": "No. 12", "cell": [[7.4476, 0.0000, 0.0000], [0.0000, 4.3221, 0.0000], [-2.4724, 0.0000, 7.2174]], "species": ["Te", "Te", "As", "As", "Pb", "Pb", "Pb", "Pb"], "frac_coords": [[0.0000, 0.0000, 0.0000], [0.5000, 0.5000, 0.0000], [0.0000, 0.5000, 0.5000], [0.5000, 0.0000, 0.5000], [0.2404, 0.0000, 0.7218], [0.2596, 0.5000, 0.2782], [0.7404, 0.5000, 0.7218], [0.7596, 0.0000, 0.2782]]}

---

x) {"formula": "TeAsPb2", "functional": "meta-GGA SCAN", "state": "single point on PBEsol structure", "vol_a3_per_cell": 212.8, "sg": "No. 44", "cell": [[3.7246, 0.0000, 0.0000], [0.0000, 5.4054, 0.0000], [0.0000, 0.0000, 10.5705]], "species": ["Te", "Te", "As", "As", "Pb", "Pb", "Pb", "Pb"], "frac_coords": [[0.0000, 0.0000, 0.0000], [0.5000, 0.5000, 0.5000], [0.0000, 0.5000, 0.7177], [0.5000, 0.0000, 0.2177], [0.0000, 0.0000, 0.4423], [0.0000, 0.5000, 0.2290], [0.5000, 0.0000, 0.7290], [0.5000, 0.5000, 0.9423]]}

---

Which structure wins on stability? w) wins.

---

w) {"formula": "Tl2AsPb", "functional": "meta-GGA SCAN", "state": "single point on PBEsol structure", "vol_a3_per_cell": 107.0, "sg": "No. 99", "cell": [[3.7306, 0.0000, 0.0000], [0.0000, 3.7306, 0.0000], [0.0000, 0.0000, 7.6880]], "species": ["Tl", "Tl", "As", "Pb"], "frac_coords": [[0.0000, 0.0000, 0.0000], [0.5000, 0.5000, 0.2831], [0.0000, 0.0000, 0.5177], [0.5000, 0.5000, 0.7107]]}

---

x) {"formula": "Tl2AsPb", "functional": "meta-GGA SCAN", "state": "single point on PBEsol structure", "vol_a3_per_cell": 105.6, "sg": "No. 123", "cell": [[4.5456, 0.0000, 0.0000], [0.0000, 4.5456, 0.0000], [0.0000, 0.0000, 5.1096]], "species": ["Tl", "Tl", "As", "Pb"], "frac_coords": [[0.0000, 0.5000, 0.0000], [0.5000, 0.0000, 0.0000], [0.0000, 0.0000, 0.5000], [0.5000, 0.5000, 0.5000]]}

---

y) {"formula": "Tl2AsPb", "functional": "meta-GGA SCAN", "state": "single point on PBEsol structure", "vol_a3_per_cell": 216.8, "sg": "No. 44", "cell": [[3.9353, 0.0000, 0.0000], [0.0000, 5.1648, 0.0000], [0.0000, 0.0000, 10.6647]], "species": ["Tl", "Tl", "Tl", "Tl", "As", "As", "Pb", "Pb"], "frac_coords": [[0.0000, 0.0000, 0.0000], [0.0000, 0.5000, 0.2132], [0.5000, 0.0000, 0.7132], [0.5000, 0.5000, 0.5000], [0.0000, 0.5000, 0.7314], [0.5000, 0.0000, 0.2314], [0.0000, 0.0000, 0.4271], [0.5000, 0.5000, 0.9271]]}

---

Which structure wins on stability? w) wins.

---

w) {"formula": "TlAsPb", "functional": "meta-GGA SCAN", "state": "single point on PBEsol structure", "vol_a3_per_cell": 85.5, "sg": "No. 156", "cell": [[4.2082, 0.0000, 0.0000], [-2.1041, 3.6444, 0.0000], [0.0000, 0.0000, 5.5745]], "species": ["Tl", "As", "Pb"], "frac_coords": [[0.0000, 0.0000, 0.0000], [0.3333, 0.6667, 0.6936], [0.6667, 0.3333, 0.4253]]}

---

x) {"formula": "TlAsPb", "functional": "meta-GGA SCAN", "state": "single point on PBEsol structure", "vol_a3_per_cell": 159.4, "sg": "No. 107", "cell": [[3.6434, 0.0000, 0.0000], [0.0000, 3.6434, 0.0000], [0.0000, 0.0000, 12.0081]], "species": ["Tl", "Tl", "As", "As", "Pb", "Pb"], "frac_coords": [[0.0000, 0.0000, 0.0000], [0.5000, 0.5000, 0.5000], [0.0000, 0.0000, 0.3417], [0.5000, 0.5000, 0.8417], [0.0000, 0.0000, 0.7147], [0.5000, 0.5000, 0.2147]]}

---

y) {"formula": "TlAsPb", "functional": "meta-GGA SCAN", "state": "single point on PBEsol structure", "vol_a3_per_cell": 357.5, "sg": "No. 216", "cell": [[7.0974, 0.0000, 0.0000], [0.0000, 7.0974, 0.0000], [0.0000, 0.0000, 7.0974]], "species": ["Tl", "Tl", "Tl", "Tl", "As", "As", "As", "As", "Pb", "Pb", "Pb", "Pb"], "frac_coords": [[0.0000, 0.0000, 0.0000], [0.0000, 0.5000, 0.5000], [0.5000, 0.0000, 0.5000], [0.5000, 0.5000, 0.0000], [0.2500, 0.2500, 0.7500], [0.2500, 0.7500, 0.2500], [0.7500, 0.2500, 0.2500], [0.7500, 0.7500, 0.7500], [0.0000, 0.0000, 0.5000], [0.0000, 0.5000, 0.0000], [0.5000, 0.0000, 0.0000], [0.5000, 0.5000, 0.5000]]}

---

Which structure wins on stability? w) wins.